Material: LiZr5TlF22
Method: DFT, GGA-PBEsol
State: relaxed

Values from the calculation:
* final energy: -393.39 eV per cell
* raw formation energy: -3.595 eV/atom

Cell and atoms, written as POSCAR:
```
LiZr5TlF22
1.0
-0.942 6.606 -4.435
-2.608 -4.476 -6.113
-10.835 1.045 3.858
Tl Li F Zr
2 2 44 10
direct
0.500 0.748 0.000 Tl
0.000 0.248 0.000 Tl
0.000 0.749 0.000 Li
0.500 0.249 0.000 Li
0.858 0.891 0.084 F
0.702 0.835 0.401 F
0.358 0.108 0.084 F
0.702 0.664 0.599 F
0.202 0.164 0.401 F
0.858 0.608 0.916 F
0.914 0.451 0.599 F
0.142 0.891 0.916 F
0.414 0.951 0.401 F
0.142 0.608 0.084 F
0.787 0.319 0.789 F
0.430 0.963 0.789 F
0.930 0.463 0.211 F
0.287 0.680 0.789 F
0.586 0.548 0.401 F
0.713 0.819 0.789 F
0.642 0.391 0.084 F
0.000 0.750 0.297 F
0.000 0.750 0.703 F
0.086 0.451 0.401 F
0.213 0.319 0.211 F
0.713 0.680 0.211 F
0.642 0.108 0.916 F
0.070 0.036 0.211 F
0.430 0.536 0.211 F
0.500 0.250 0.703 F
0.570 0.963 0.211 F
0.202 0.335 0.599 F
0.930 0.036 0.789 F
0.570 0.536 0.789 F
0.358 0.391 0.916 F
0.787 0.180 0.211 F
0.070 0.463 0.789 F
0.213 0.180 0.789 F
0.086 0.048 0.599 F
0.298 0.664 0.401 F
0.914 0.048 0.401 F
0.586 0.951 0.599 F
0.500 0.250 0.297 F
0.298 0.835 0.599 F
0.414 0.548 0.599 F
0.798 0.335 0.401 F
0.798 0.164 0.599 F
0.287 0.819 0.211 F
0.680 0.069 0.747 Zr
0.320 0.069 0.253 Zr
0.680 0.430 0.253 Zr
0.180 0.930 0.747 Zr
0.500 0.750 0.500 Zr
0.320 0.430 0.747 Zr
0.820 0.930 0.253 Zr
0.000 0.250 0.500 Zr
0.820 0.569 0.747 Zr
0.180 0.569 0.253 Zr
```

***

Material: Cu2H2Ir
Method: DFT, GGA-PBEsol
State: relaxed

Values from the calculation:
* final energy: -24.47 eV per cell

Cell and atoms, written as POSCAR:
```
Cu2H2Ir
1.0
-2.424 2.089 -1.630
-2.630 -1.630 1.823
0.334 2.523 2.737
H Cu Ir
2 2 1
direct
0.000 0.500 0.000 H
0.500 0.000 0.000 H
0.500 0.000 0.500 Cu
0.000 0.500 0.500 Cu
0.000 0.000 0.000 Ir
```

***

Material: ReMo2
Method: DFT, GGA-PBEsol
State: relaxed

Values from the calculation:
* energy relative to the elements: 0.067 eV per atom
* final energy: -73.33 eV per cell
* energy relative to the lowest polymorph listed for this composition: 0.04 eV/f.u.

Cell and atoms, written as POSCAR:
```
ReMo2
1.0
-1.139 -2.536 -1.390
3.267 -1.576 3.673
-5.520 1.002 2.697
Mo Re
4 2
direct
0.832 0.664 0.417 Mo
0.168 0.336 0.583 Mo
0.496 0.993 0.250 Mo
0.504 0.007 0.750 Mo
0.835 0.670 0.915 Re
0.165 0.330 0.085 Re
```

***

Material: Li2Cr2Sb
Method: DFT, GGA-PBEsol
State: relaxed

Values from the calculation:
* final energy: -25.71 eV per cell
* raw formation energy: 0.653 eV/atom

Cell and atoms, written as POSCAR:
```
Li2Cr2Sb
1.0
3.666 0.000 0.000
0.000 3.666 0.000
-1.833 -1.833 6.386
Li Sb Cr
2 1 2
direct
0.750 0.250 0.500 Li
0.250 0.750 0.500 Li
0.000 0.000 0.000 Sb
0.424 0.424 0.848 Cr
0.576 0.576 0.152 Cr
```

***

Material: YCdCl2
Method: DFT, GGA-PBEsol
State: relaxed

Values from the calculation:
* final energy: -15.93 eV per cell
* energy relative to the lowest polymorph listed for this composition: 1.05 eV/f.u.
* raw formation energy: -0.974 eV/atom

Cell and atoms, written as POSCAR:
```
YCdCl2
1.0
3.627 0.000 0.000
0.000 4.439 0.000
0.000 0.000 5.484
Y Cl Cd
1 2 1
direct
0.500 0.500 0.000 Y
0.500 0.000 0.500 Cl
0.000 0.000 0.000 Cl
0.000 0.500 0.500 Cd
```

***

Material: Dy2TiO5
Method: DFT, GGA-PBEsol
State: relaxed

Values from the calculation:
* final energy: -288.63 eV per cell
* energy relative to the lowest polymorph listed for this composition: 0.00 eV/f.u.
* raw formation energy: -3.454 eV/atom

Cell and atoms, written as POSCAR:
```
Dy2TiO5
1.0
-2.713 0.504 -2.266
3.846 -3.408 -5.362
-6.017 -13.427 4.219
Dy Ti O
8 4 20
direct
0.250 0.639 0.576 Dy
0.250 0.134 0.258 Dy
0.250 0.139 0.924 Dy
0.750 0.366 0.758 Dy
0.750 0.866 0.742 Dy
0.750 0.361 0.424 Dy
0.250 0.634 0.242 Dy
0.750 0.861 0.076 Dy
0.250 0.132 0.578 Ti
0.750 0.868 0.422 Ti
0.250 0.632 0.922 Ti
0.750 0.368 0.078 Ti
0.750 0.104 0.537 O
0.750 0.091 0.350 O
0.250 0.398 0.329 O
0.250 0.263 0.679 O
0.750 0.143 0.012 O
0.750 0.604 0.963 O
0.250 0.396 0.037 O
0.250 0.763 0.821 O
0.250 0.409 0.850 O
0.250 0.909 0.650 O
0.750 0.591 0.150 O
0.250 0.857 0.988 O
0.750 0.737 0.321 O
0.250 0.357 0.512 O
0.750 0.102 0.829 O
0.250 0.898 0.171 O
0.750 0.237 0.179 O
0.750 0.602 0.671 O
0.250 0.896 0.463 O
0.750 0.643 0.488 O
```

***

Material: YAg2Rh
Method: DFT, GGA-PBEsol
State: relaxed

Values from the calculation:
* energy relative to the elements: -0.390 eV per atom
* final energy: -23.14 eV per cell
* energy relative to the lowest polymorph listed for this composition: 0.08 eV/f.u.

Cell and atoms, written as POSCAR:
```
YAg2Rh
1.0
3.964 0.000 0.000
0.000 3.964 0.000
0.000 0.000 4.476
Y Rh Ag
1 1 2
direct
0.000 0.000 0.500 Y
0.500 0.500 0.500 Rh
0.500 0.000 0.000 Ag
0.000 0.500 0.000 Ag
```

***

Material: SmAl2Ge2
Method: DFT, GGA-PBEsol
State: relaxed

Values from the calculation:
* energy relative to the elements: -0.463 eV per atom
* final energy: -25.47 eV per cell

Cell and atoms, written as POSCAR:
```
SmAl2Ge2
1.0
-1.029 -2.798 3.022
3.846 1.796 -0.009
-2.309 4.965 3.810
Ge Sm Al
2 1 2
direct
0.333 0.667 0.261 Ge
0.667 0.333 0.739 Ge
0.000 0.000 0.000 Sm
0.667 0.333 0.356 Al
0.333 0.667 0.644 Al
```

***

What is the final energy in the seventh record?
-23.14 eV per cell

***

What is the final energy in the first record?
-393.39 eV per cell